Entry 1:
Material: YMg2Pt9
Method: DFT, PBE
State: optimized geometry Values from VASP.

Quantum ESPRESSO input file:
```
&SYSTEM
  ibrav = 0, nat = 12, ntyp = 3
/
ATOMIC_SPECIES
Pt 195.08 Pt.upf
Mg 24.30 Mg.upf
Y 88.91 Y.upf
CELL_PARAMETERS angstrom
-1.3677 -3.3830 -1.7052
2.9667 -2.0839 1.7547
-7.0255 -1.9684 9.5401
ATOMIC_POSITIONS crystal
Pt 0.0000 0.5000 0.8222
Pt 0.0000 0.5000 0.5000
Pt 0.5000 0.0000 0.5000
Pt 0.5000 0.0000 0.1778
Pt 0.0000 0.5000 0.1778
Pt 0.5000 0.5000 0.6620
Mg 0.0000 0.0000 0.6598
Mg 0.0000 0.0000 0.3402
Pt 0.5000 0.0000 0.8222
Pt 0.5000 0.5000 0.3380
Y 0.0000 0.0000 0.0000
Pt 0.5000 0.5000 0.0000
```

Output
**Space-group type**: P4/mmm, No. 123

Entry 2:
Material: BaCaMgGa
Method: DFT, PBE
State: optimized geometry Values from VASP.

Quantum ESPRESSO input file:
```
&SYSTEM
  ibrav = 0, nat = 4, ntyp = 4
/
ATOMIC_SPECIES
Ba 137.33 Ba.upf
Mg 24.30 Mg.upf
Ga 69.72 Ga.upf
Ca 40.08 Ca.upf
CELL_PARAMETERS angstrom
-0.3546 -5.2021 -2.2263
-0.6849 -4.4933 3.3890
-4.9418 -2.7784 0.0601
ATOMIC_POSITIONS crystal
Ba 0.7500 0.7500 0.7500
Mg 0.5000 0.5000 0.5000
Ga 0.0000 0.0000 0.0000
Ca 0.2500 0.2500 0.2500
```

Output
**Space-group type**: F-43m, No. 216

Entry 3:
Material: KZnFe2
Method: DFT, PBE
State: optimized geometry Values from VASP.

Quantum ESPRESSO input file:
```
&SYSTEM
  ibrav = 0, nat = 4, ntyp = 3
/
ATOMIC_SPECIES
Fe 55.84 Fe.upf
K 39.10 K.upf
Zn 65.41 Zn.upf
CELL_PARAMETERS angstrom
-0.0709 -2.5339 -0.8476
4.5539 0.6220 -2.2406
2.3417 -1.5168 4.3384
ATOMIC_POSITIONS crystal
Fe 0.5000 0.5000 0.0000
K 0.5000 0.0000 0.5000
Fe 0.0000 0.0000 0.0000
Zn 0.0000 0.5000 0.5000
```

Output
**Space-group type**: Pmmm, No. 47

Entry 4:
Material: Co2NiSe
Method: DFT, PBE
State: optimized geometry Values from VASP.

Quantum ESPRESSO input file:
```
&SYSTEM
  ibrav = 0, nat = 4, ntyp = 3
/
ATOMIC_SPECIES
Co 58.93 Co.upf
Se 78.96 Se.upf
Ni 58.69 Ni.upf
CELL_PARAMETERS angstrom
-4.2858 -0.6679 -1.1745
-2.5816 -0.3331 3.6630
2.9860 3.0215 -1.4654
ATOMIC_POSITIONS crystal
Co 0.7476 0.2476 0.5000
Co 0.0106 0.0106 0.0000
Se 0.2525 0.7525 0.5000
Ni 0.4893 0.4893 0.0000
```

Output
**Space-group type**: Imm2, No. 44
**Uncorrected formation energy**: 0.21 eV per atom

Entry 5:
Material: SrInCo2H8
Method: DFT, PBE
State: optimized geometry Values from VASP.

Quantum ESPRESSO input file:
```
&SYSTEM
  ibrav = 0, nat = 12, ntyp = 4
/
ATOMIC_SPECIES
H 1.01 H.upf
Sr 87.62 Sr.upf
In 114.82 In.upf
Co 58.93 Co.upf
CELL_PARAMETERS angstrom
4.4567 0.0000 0.0000
-2.2283 3.8596 0.0000
0.0000 0.0000 6.5169
ATOMIC_POSITIONS crystal
H 0.9692 0.3705 0.7013
H 0.5987 0.9692 0.2987
H 0.4013 0.0308 0.7013
H 0.3333 0.6667 0.8859
Sr 0.0000 0.0000 0.0000
H 0.6667 0.3333 0.1141
H 0.6295 0.5987 0.7013
H 0.0308 0.6295 0.2987
H 0.3705 0.4013 0.2987
In 0.0000 0.0000 0.5000
Co 0.6667 0.3333 0.3448
Co 0.3333 0.6667 0.6552
```

Output
**Space-group type**: P-3, No. 147

Entry 6:
Material: CaPmLu2
Method: DFT, PBE
State: optimized geometry Values from VASP.

Quantum ESPRESSO input file:
```
&SYSTEM
  ibrav = 0, nat = 4, ntyp = 3
/
ATOMIC_SPECIES
Pm 145.00 Pm.upf
Lu 174.97 Lu.upf
Ca 40.08 Ca.upf
CELL_PARAMETERS angstrom
-1.2985 1.2205 -3.1439
-3.3474 -0.8767 1.0422
-1.1678 9.3451 4.1102
ATOMIC_POSITIONS crystal
Pm 0.5000 0.5000 0.0000
Lu 0.0000 0.0000 0.7683
Lu 0.0000 0.0000 0.2317
Ca 0.5000 0.5000 0.5000
```

Output
**Space-group type**: P4/mmm, No. 123

Entry 7:
Material: Y2Se2S
Method: DFT, PBE
State: optimized geometry Values from VASP.

Quantum ESPRESSO input file:
```
&SYSTEM
  ibrav = 0, nat = 10, ntyp = 3
/
ATOMIC_SPECIES
Y 88.91 Y.upf
Se 78.96 Se.upf
S 32.06 S.upf
CELL_PARAMETERS angstrom
5.7499 -0.0011 0.0000
-2.8738 6.0479 -2.3798
0.0001 -0.1785 8.4025
ATOMIC_POSITIONS crystal
Y 0.8260 0.6519 0.4024
Se 0.9879 0.9757 0.2581
Y 0.5141 0.0281 0.7806
S 0.3489 0.6978 0.8888
Y 0.4850 0.9700 0.2158
Se 0.0112 0.0224 0.7383
Se 0.6638 0.3275 0.5716
Se 0.3354 0.6706 0.4248
Y 0.1731 0.3462 0.5939
S 0.6502 0.3003 0.1076
```

Output
**Space-group type**: C2/m, No. 12
**Uncorrected formation energy**: -1.91 eV per atom

Entry 8:
Material: Pm2B3Rh5
Method: DFT, PBE
State: optimized geometry Values from VASP.

Quantum ESPRESSO input file:
```
&SYSTEM
  ibrav = 0, nat = 20, ntyp = 3
/
ATOMIC_SPECIES
B 10.81 B.upf
Rh 102.91 Rh.upf
Pm 145.00 Pm.upf
CELL_PARAMETERS angstrom
-1.0304 -4.6634 -3.1148
-1.8577 -6.1869 4.6585
-7.7567 -1.8062 0.0513
ATOMIC_POSITIONS crystal
B 0.3851 0.5066 0.7233
B 0.1149 0.2767 0.4934
Rh 0.5237 0.7263 0.7263
B 0.8851 0.7233 0.5066
B 0.6149 0.4934 0.2767
Pm 0.8606 0.3774 0.9014
Pm 0.3606 0.9014 0.3774
Rh 0.4088 0.2201 0.9623
Rh 0.5912 0.7799 0.0377
Rh 0.9763 0.2737 0.2737
Rh 0.7500 0.5000 0.5000
B 0.2500 0.0000 0.0000
Rh 0.9088 0.9623 0.2201
B 0.7500 0.0000 0.0000
Rh 0.0237 0.7263 0.7263
Rh 0.0912 0.0377 0.7799
Pm 0.6394 0.0986 0.6226
Rh 0.2500 0.5000 0.5000
Rh 0.4763 0.2737 0.2737
Pm 0.1394 0.6226 0.0986
```

Output
**Space-group type**: Ibam, No. 72

no.,uncorrected energy (eV per formula unit)
1,-72.7
2,-9.3
3,-15.3
4,-22.7
5,-45.0
6,-15.4
7,-33.6
8,-72.0